Entry from the Alexandria database: a relaxed structure of LiTe2C2 (PBE).

Properties
The polymorph energy (0 for the lowest one) is 0 meV per atom.

Cell: 5.585 5.585 5.821 Å, 90.00 90.00 90.00°
Atoms (fractional coordinates):
Li (0.000, 0.000, 0.000)
Li (0.500, 0.500, 0.500)
Te (0.000, 0.500, 0.250)
Te (0.000, 0.500, 0.750)
Te (0.500, 0.000, 0.250)
Te (0.500, 0.000, 0.750)
C (0.000, 0.000, 0.386)
C (0.000, 0.000, 0.614)
C (0.500, 0.500, 0.114)
C (0.500, 0.500, 0.886)

=====

Entry from the Alexandria database: a relaxed structure of Li2TeC (PBE).

Properties
The polymorph energy (0 for the lowest one) is 0 meV per atom.

Cell: 3.881 3.881 16.047 Å, 90.00 90.00 90.00°
Atoms (fractional coordinates):
Li (0.162, 0.250, 0.125)
Li (0.250, 0.662, 0.375)
Li (0.250, 0.838, 0.875)
Li (0.338, 0.250, 0.625)
Li (0.662, 0.750, 0.625)
Li (0.750, 0.162, 0.875)
Li (0.750, 0.338, 0.375)
Li (0.838, 0.750, 0.125)
Te (0.000, 0.000, 0.500)
Te (0.000, 0.500, 0.750)
Te (0.500, 0.000, 0.250)
Te (0.500, 0.500, 0.000)
C (0.000, 0.000, 0.000)
C (0.000, 0.500, 0.250)
C (0.500, 0.000, 0.750)
C (0.500, 0.500, 0.500)

=====

Entry from the Alexandria database: a relaxed structure of LiTe2C2 (PBE).

Properties
The polymorph energy (0 for the lowest one) is 354 meV per atom.

Cell: 7.774 7.774 3.295 Å, 90.00 90.00 90.00°
Atoms (fractional coordinates):
Li (0.000, 0.000, 0.000)
Li (0.500, 0.500, 0.000)
Te (0.166, 0.334, 0.000)
Te (0.334, 0.834, 0.000)
Te (0.666, 0.166, 0.000)
Te (0.834, 0.666, 0.000)
C (0.211, 0.711, 0.500)
C (0.289, 0.211, 0.500)
C (0.711, 0.789, 0.500)
C (0.789, 0.289, 0.500)

=====

Number 1: uncorrected energy -4.340 eV per atom, total moment 0.00 μB per atom, uncorrected formation energy 95.4 kJ/mol of atoms. Number 2: uncorrected energy -3.441 eV per atom, total moment 0.00 μB per atom, uncorrected formation energy 58.6 kJ/mol of atoms. Number 3: uncorrected energy -3.986 eV per atom, total moment 0.00 μB per atom, uncorrected formation energy 129.6 kJ/mol of atoms.